Entry 1:
A plane-wave DFT calculation with PBE was carried out for a geometry-optimized La2Er6Mg structure.

Energy of formation from the pure elements, kcal/mol of atoms: 1.82

CIF file:
```
data_La2Er6Mg
_chemical_formula_sum 'La4 Er12 Mg2'
_cell_length_a 9.931
_cell_length_b 10.303
_cell_length_c 5.486
_cell_angle_alpha 90.00
_cell_angle_beta 90.00
_cell_angle_gamma 90.00
_space_group_name_H-M_alt 'P n n m'
_space_group_IT_number 58
loop_
_space_group_symop_operation_xyz
'x,y,z'
'-x,-y,-z'
'-x,-y,z'
'x,y,-z'
'x+1/2,-y+1/2,-z+1/2'
'-x+1/2,y+1/2,z+1/2'
'-x+1/2,y+1/2,-z+1/2'
'x+1/2,-y+1/2,z+1/2'
loop_
_atom_site_label
_atom_site_type_symbol
_atom_site_fract_x
_atom_site_fract_y
_atom_site_fract_z
La1 La 0.190 0.239 0.000
Er1 Er 0.016 0.328 0.500
Er2 Er 0.142 0.890 0.000
Er3 Er 0.173 0.563 0.000
Mg1 Mg 0.000 0.000 0.500
```

***

Entry 2:
A plane-wave DFT calculation with PBE was carried out for a geometry-optimized BeNb3Ru4 structure.

Energy of formation from the pure elements, kcal/mol of atoms: -6.36

CIF file:
```
data_BeNb3Ru4
_chemical_formula_sum 'Be1 Nb3 Ru4'
_cell_length_a 3.120
_cell_length_b 3.120
_cell_length_c 12.301
_cell_angle_alpha 90.00
_cell_angle_beta 90.00
_cell_angle_gamma 90.00
_space_group_name_H-M_alt 'P 4/m m m'
_space_group_IT_number 123
_space_group_name_Hall '-P 4 2'
loop_
_atom_site_label
_atom_site_type_symbol
_atom_site_fract_x
_atom_site_fract_y
_atom_site_fract_z
Be1 Be 0.000 0.000 0.000
Nb1 Nb 0.000 0.000 0.230
Nb2 Nb 0.000 0.000 0.500
Ru1 Ru 0.500 0.500 0.108
Ru2 Ru 0.500 0.500 0.367
```

***

Entry 3:
A plane-wave DFT calculation with PBE was carried out for a geometry-optimized Tb3Nd9Ho2 structure.

Energy of formation from the pure elements, kcal/mol of atoms: 5.40

CIF file:
```
data_Tb3Nd9Ho2
_chemical_formula_sum 'Tb6 Nd18 Ho4'
_cell_length_a 9.0997
_cell_length_b 9.0997
_cell_length_c 13.9367
_cell_angle_alpha 90.00
_cell_angle_beta 90.00
_cell_angle_gamma 120.00
_space_group_name_H-M_alt 'P 63/m'
_space_group_IT_number 176
_space_group_name_Hall '-P 6c'
loop_
_atom_site_label
_atom_site_type_symbol
_atom_site_fract_x
_atom_site_fract_y
_atom_site_fract_z
Tb1 Tb 0.0802 0.2508 0.2500
Nd1 Nd 0.0800 0.4810 0.7500
Nd2 Nd 0.1323 0.7255 0.5408
Ho1 Ho 0.3333 0.6667 0.1427
```

***

Entry 4:
A plane-wave DFT calculation with PBE was carried out for a geometry-optimized KLi2CeI6 structure.

Formation energy (no corrections), eV per formula unit: -12.9

CIF file:
```
data_KLi2CeI6
_chemical_formula_sum 'K3 Li6 Ce3 I18'
_cell_length_a 7.9756
_cell_length_b 7.9756
_cell_length_c 21.6525
_cell_angle_alpha 90.00
_cell_angle_beta 90.00
_cell_angle_gamma 120.00
_space_group_name_H-M_alt 'R 3'
_space_group_IT_number 146
_space_group_name_Hall 'R 3'
loop_
_atom_site_label
_atom_site_type_symbol
_atom_site_fract_x
_atom_site_fract_y
_atom_site_fract_z
K1 K 0.0000 0.0000 0.0000
Li1 Li 0.0000 0.0000 0.2935
Li2 Li 0.0000 0.0000 0.7996
Ce1 Ce 0.0000 0.0000 0.4836
I1 I 0.0051 0.5970 0.0549
I2 I 0.0215 0.3355 0.8840
```